TlPIrS2: optimized geometry, PBE.

Output
Size of the total moment: 2.1 μB per cell
Energy relative to the lowest polymorph listed for this composition: 1615.6 meV/atom
Formation energy (no corrections): 9.7 eV/f.u.

Unit cell a=4.977 b=4.977 c=5.056 alpha=90.00 beta=90.00 gamma=90.00
Fractional coordinates of all 5 atoms:
Tl 0.000 0.000 0.000
P 0.000 0.000 0.500
Ir 0.500 0.500 0.500
S 0.000 0.500 0.000
S 0.500 0.000 0.000